(1)
Nd2SmHoEr5: relaxed, PBE-GGA.

a = 8.659 Å, b = 8.659 Å, c = 15.479 Å
α = 90.00°, β = 90.00°, γ = 90.00°
Space group I4/mcm (No. 140)
Inequivalent atoms, fractional coordinates:
Nd 0.117 0.383 0.000 x8
Sm 0.000 0.000 0.250 x4
Ho 0.000 0.500 0.250 x4
Er 0.000 0.000 0.000 x4
Er 0.211 0.289 0.361 x16

Results
final energy = -4.36 eV per atom
energy of formation from the pure elements = 2.415 eV per formula unit

***

(2)
Sr2CaHgH: relaxed, PBE-GGA.

a = 5.515 Å, b = 5.515 Å, c = 4.685 Å
α = 90.00°, β = 90.00°, γ = 90.00°
Space group P4/mmm (No. 123)
Inequivalent atoms, fractional coordinates:
Sr 0.000 0.500 0.000 x2
Ca 0.000 0.000 0.500 x1
Hg 0.500 0.500 0.500 x1
H 0.000 0.000 0.000 x1

Results
final energy = -2.10 eV per atom